Material: SrV2N4
Method: DFT, GGA-PBEsol
State: optimized geometry Values from VASP.

Quantum ESPRESSO input file:
```
&SYSTEM
  ibrav = 0, nat = 84, ntyp = 3
/
ATOMIC_SPECIES
Sr 87.62 Sr.upf
V 50.94 V.upf
N 14.01 N.upf
CELL_PARAMETERS angstrom
10.334 0.000 0.000
0.000 10.334 0.000
0.000 0.000 10.334
ATOMIC_POSITIONS crystal
Sr 0.000 0.000 0.000
Sr 0.000 0.500 0.500
Sr 0.122 0.622 0.878
Sr 0.122 0.878 0.378
Sr 0.378 0.122 0.878
Sr 0.378 0.378 0.378
Sr 0.500 0.000 0.500
Sr 0.500 0.500 0.000
Sr 0.622 0.622 0.622
Sr 0.622 0.878 0.122
Sr 0.878 0.122 0.622
Sr 0.878 0.378 0.122
V 0.111 0.206 0.353
V 0.111 0.294 0.853
V 0.147 0.611 0.206
V 0.147 0.889 0.706
V 0.206 0.147 0.611
V 0.206 0.353 0.111
V 0.294 0.647 0.611
V 0.294 0.853 0.111
V 0.353 0.111 0.206
V 0.353 0.389 0.706
V 0.389 0.706 0.353
V 0.389 0.794 0.853
V 0.611 0.206 0.147
V 0.611 0.294 0.647
V 0.647 0.611 0.294
V 0.647 0.889 0.794
V 0.706 0.147 0.889
V 0.706 0.353 0.389
V 0.794 0.647 0.889
V 0.794 0.853 0.389
V 0.853 0.111 0.294
V 0.853 0.389 0.794
V 0.889 0.706 0.147
V 0.889 0.794 0.647
N 0.021 0.079 0.270
N 0.021 0.421 0.770
N 0.079 0.230 0.521
N 0.079 0.270 0.021
N 0.139 0.728 0.642
N 0.139 0.772 0.142
N 0.142 0.139 0.772
N 0.142 0.361 0.272
N 0.228 0.642 0.361
N 0.228 0.858 0.861
N 0.230 0.521 0.079
N 0.230 0.979 0.579
N 0.270 0.021 0.079
N 0.270 0.479 0.579
N 0.272 0.142 0.361
N 0.272 0.358 0.861
N 0.358 0.639 0.772
N 0.358 0.861 0.272
N 0.361 0.228 0.642
N 0.361 0.272 0.142
N 0.421 0.730 0.521
N 0.421 0.770 0.021
N 0.479 0.579 0.270
N 0.479 0.921 0.770
N 0.521 0.079 0.230
N 0.521 0.421 0.730
N 0.579 0.230 0.979
N 0.579 0.270 0.479
N 0.639 0.728 0.858
N 0.639 0.772 0.358
N 0.642 0.139 0.728
N 0.642 0.361 0.228
N 0.728 0.642 0.139
N 0.728 0.858 0.639
N 0.730 0.521 0.421
N 0.730 0.979 0.921
N 0.770 0.021 0.421
N 0.770 0.479 0.921
N 0.772 0.142 0.139
N 0.772 0.358 0.639
N 0.858 0.639 0.728
N 0.858 0.861 0.228
N 0.861 0.228 0.858
N 0.861 0.272 0.358
N 0.921 0.730 0.979
N 0.921 0.770 0.479
N 0.979 0.579 0.230
N 0.979 0.921 0.730
```

***

! LaYTl2 GGA-PBEsol optimized geometry; values from VASP
! ΔH_f (0 K), eV per atom: -0.431
&SYSTEM
  ibrav = 0, nat = 4, ntyp = 3
/
ATOMIC_SPECIES
La 138.91 La.upf
Y 88.91 Y.upf
Tl 204.38 Tl.upf
CELL_PARAMETERS angstrom
3.860 0.000 0.000
0.000 5.401 0.000
-0.001 0.000 5.402
ATOMIC_POSITIONS crystal
La 0.000 0.000 0.000
Y 0.001 0.500 0.501
Tl 0.500 0.000 0.500
Tl 0.500 0.500 0.002

***

Number 1: calculated total energy -8.9116 eV/atom. Number 2: calculated total energy -4.7881 eV/atom.